Entry 1:
! Li2YEr2In2, optimized geometry, DFT GGA-PBE; values from VASP
! Energy relative to the elements ... -0.228 eV per atom
! N(E_F) ... 0.739 states/eV/atom
! M_tot ... 0.00 μB/atom
&SYSTEM
  ibrav = 0, nat = 7, ntyp = 4
/
ATOMIC_SPECIES
Li 6.94 Li.upf
Y 88.91 Y.upf
Er 167.26 Er.upf
In 114.82 In.upf
ATOMIC_POSITIONS crystal
Li 0.1017 0.1017 0.1017
Li 0.8983 0.8983 0.8983
Y 0.5000 0.5000 0.5000
Er 0.3719 0.3719 0.3719
Er 0.6281 0.6281 0.6281
In 0.2389 0.2389 0.2389
In 0.7611 0.7611 0.7611
CELL_PARAMETERS angstrom
2.4155 1.3946 8.7900
-2.4155 1.3946 8.7900
0.0000 -2.7891 8.7900

Entry 2:
! Li2Y2ErIn2, optimized geometry, DFT GGA-PBE; values from VASP
! Energy relative to the elements ... -0.234 eV per atom
! N(E_F) ... 0.723 states/eV/atom
! M_tot ... 0.00 μB/atom
&SYSTEM
  ibrav = 0, nat = 7, ntyp = 4
/
ATOMIC_SPECIES
Li 6.94 Li.upf
Y 88.91 Y.upf
Er 167.26 Er.upf
In 114.82 In.upf
ATOMIC_POSITIONS crystal
Li 0.1063 0.1063 0.1063
Li 0.8937 0.8937 0.8937
Y 0.3732 0.3732 0.3732
Y 0.6268 0.6268 0.6268
Er 0.5000 0.5000 0.5000
In 0.2370 0.2370 0.2370
In 0.7630 0.7630 0.7630
CELL_PARAMETERS angstrom
2.4116 1.3923 8.8973
-2.4116 1.3923 8.8973
0.0000 -2.7847 8.8973

Entry 3:
! LiErZnIn, optimized geometry, DFT GGA-PBE; values from VASP
! Energy relative to the elements ... -0.302 eV per atom
! N(E_F) ... 0.472 states/eV/atom
! M_tot ... 0.00 μB/atom
! Polymorph energy (0 for the lowest one) ... 6 meV/atom
&SYSTEM
  ibrav = 0, nat = 4, ntyp = 4
/
ATOMIC_SPECIES
Li 6.94 Li.upf
Er 167.26 Er.upf
Zn 65.41 Zn.upf
In 114.82 In.upf
ATOMIC_POSITIONS crystal
Li 0.0000 0.0000 0.0000
Er 0.7500 0.7500 0.7500
Zn 0.5000 0.5000 0.5000
In 0.2500 0.2500 0.2500
CELL_PARAMETERS angstrom
0.0000 3.3893 3.3893
3.3893 0.0000 3.3893
3.3893 3.3893 0.0000

Entry 4:
! LiErZnIn, optimized geometry, DFT GGA-PBE; values from VASP
! Energy relative to the elements ... -0.308 eV per atom
! N(E_F) ... 0.419 states/eV/atom
! M_tot ... 0.00 μB/atom
! Polymorph energy (0 for the lowest one) ... 0 meV/atom
&SYSTEM
  ibrav = 0, nat = 4, ntyp = 4
/
ATOMIC_SPECIES
Li 6.94 Li.upf
Er 167.26 Er.upf
Zn 65.41 Zn.upf
In 114.82 In.upf
ATOMIC_POSITIONS crystal
Li 0.0000 0.0000 0.0000
Er 0.5000 0.5000 0.5004
Zn 0.2501 0.2501 0.7519
In 0.7500 0.7500 0.2496
CELL_PARAMETERS angstrom
4.2667 -2.4647 0.0000
4.2667 2.4647 0.0000
-2.8488 0.0000 4.0233

Entry 5:
! LiErZrIn, optimized geometry, DFT GGA-PBE; values from VASP
! Energy relative to the elements ... -0.117 eV per atom
! N(E_F) ... 0.776 states/eV/atom
! M_tot ... 0.00 μB/atom
&SYSTEM
  ibrav = 0, nat = 4, ntyp = 4
/
ATOMIC_SPECIES
Li 6.94 Li.upf
Er 167.26 Er.upf
Zr 91.22 Zr.upf
In 114.82 In.upf
ATOMIC_POSITIONS crystal
Li 0.0000 0.0000 0.0000
Er 0.2500 0.2500 0.2500
Zr 0.7500 0.7500 0.7500
In 0.5000 0.5000 0.5000
CELL_PARAMETERS angstrom
0.0000 3.5761 3.5761
3.5761 0.0000 3.5761
3.5761 3.5761 0.0000

Entry 6:
! ErLuMgIn, optimized geometry, DFT GGA-PBE; values from VASP
! Energy relative to the elements ... -0.283 eV per atom
! N(E_F) ... 0.696 states/eV/atom
! M_tot ... 0.00 μB/atom
&SYSTEM
  ibrav = 0, nat = 4, ntyp = 4
/
ATOMIC_SPECIES
Er 167.26 Er.upf
Lu 174.97 Lu.upf
Mg 24.30 Mg.upf
In 114.82 In.upf
ATOMIC_POSITIONS crystal
Er 0.0000 0.0000 0.0000
Lu 0.5000 0.5000 0.5000
Mg 0.7500 0.7500 0.7500
In 0.2500 0.2500 0.2500
CELL_PARAMETERS angstrom
0.0000 3.7067 3.7067
3.7067 0.0000 3.7067
3.7067 3.7067 0.0000

Entry 7:
! ErLuMnIn, optimized geometry, DFT GGA-PBE; values from VASP
! Energy relative to the elements ... -0.096 eV per atom
! N(E_F) ... 1.181 states/eV/atom
! M_tot ... 0.85 μB/atom
&SYSTEM
  ibrav = 0, nat = 4, ntyp = 4
/
ATOMIC_SPECIES
Er 167.26 Er.upf
Lu 174.97 Lu.upf
Mn 54.94 Mn.upf
In 114.82 In.upf
ATOMIC_POSITIONS crystal
Er 0.0000 0.0000 0.0000
Lu 0.5000 0.5000 0.5000
Mn 0.7500 0.7500 0.7500
In 0.2500 0.2500 0.2500
CELL_PARAMETERS angstrom
0.0000 3.6211 3.6211
3.6211 0.0000 3.6211
3.6211 3.6211 0.0000

Entry 8:
! NdErLuIn, optimized geometry, DFT GGA-PBE; values from VASP
! Energy relative to the elements ... -0.145 eV per atom
! N(E_F) ... 1.664 states/eV/atom
! M_tot ... 0.00 μB/atom
&SYSTEM
  ibrav = 0, nat = 4, ntyp = 4
/
ATOMIC_SPECIES
Nd 144.24 Nd.upf
Er 167.26 Er.upf
Lu 174.97 Lu.upf
In 114.82 In.upf
ATOMIC_POSITIONS crystal
Nd 0.0000 0.0000 0.0000
Er 0.5000 0.5000 0.5000
Lu 0.7500 0.7500 0.7500
In 0.2500 0.2500 0.2500
CELL_PARAMETERS angstrom
0.0000 3.8608 3.8608
3.8608 0.0000 3.8608
3.8608 3.8608 0.0000

Q: What is the M_tot in the fourth record?
A: 0.00 μB/atom